No. 1
Density functional theory data (PBE) for LaAlFe after structural relaxation.

Cell lengths 4.5186, 4.5186, 4.5186 Å; angles 60.00, 60.00, 60.00 degrees
Last column: magnetic moment on the atom in μB.
Element x y z (fractional)
1 La 0.0000 0.0000 0.0000  -0.03
2 Fe 0.7500 0.7500 0.7500  0.94
3 Al 0.5000 0.5000 0.5000  -0.03

formation energy from the elements: 0.38 eV/f.u.
D(E_F): 1.32 states/eV/atom
calculated total energy: -0.20516 Ha/atom
ρ: 5.6 g/cm³
crystal system: cubic



No. 2
Density functional theory data (PBE) for LaAl2Fe after structural relaxation.

Cell lengths 4.7337, 4.7337, 4.7337 Å; angles 60.00, 60.00, 60.00 degrees
Element x y z (fractional)
1 La 0.5000 0.5000 0.5000
2 Fe 0.0000 0.0000 0.0000
3 Al 0.2500 0.2500 0.2500
4 Al 0.7500 0.7500 0.7500

formation energy from the elements: 0.46 eV/f.u.
D(E_F): 1.06 states/eV/atom
calculated total energy: -0.18755 Ha/atom
ρ: 5.5 g/cm³
crystal system: cubic